{"formula": "Y2ErAl", "functional": "PBE-GGA", "state": "relaxed", "lattice_angstrom": [[-1.537, -3.597, 3.259], [6.409, -0.887, 2.044], [0.858, 4.240, 5.084]], "species": ["Y", "Y", "Y", "Y", "Er", "Er", "Al", "Al"], "frac_coords": [[0.750, 0.764, 0.622], [0.250, 0.236, 0.378], [0.750, 0.580, 0.192], [0.250, 0.420, 0.808], [0.750, 0.094, 0.107], [0.250, 0.906, 0.893], [0.250, 0.764, 0.369], [0.750, 0.236, 0.631]], "formation_enthalpy_0k_ev_per_atom": -0.21, "spacegroup": "P2_1/m, No. 11", "dos_ef_per_ev_cell": 7.59, "magnetic_moment_mub_per_cell": 0.00}

---

{"formula": "YEr3Al8", "functional": "PBE-GGA", "state": "relaxed", "lattice_angstrom": [[5.531, 0.000, 0.000], [2.766, 4.790, 0.000], [2.766, 1.597, 9.077]], "species": ["Y", "Er", "Er", "Er", "Al", "Al", "Al", "Al", "Al", "Al", "Al", "Al"], "frac_coords": [[0.875, 0.875, 0.374], [0.375, 0.375, 0.874], [0.000, 0.000, 0.000], [0.499, 0.499, 0.502], [0.938, 0.438, 0.187], [0.437, 0.937, 0.688], [0.438, 0.438, 0.187], [0.937, 0.937, 0.688], [0.187, 0.187, 0.438], [0.688, 0.688, 0.937], [0.438, 0.938, 0.187], [0.937, 0.437, 0.688]], "formation_enthalpy_0k_ev_per_atom": -0.51, "spacegroup": "R3m, No. 160", "dos_ef_per_ev_cell": 9.84, "magnetic_moment_mub_per_cell": 0.00}

---

{"formula": "Y3Er12Al5", "functional": "PBE-GGA", "state": "relaxed", "lattice_angstrom": [[-11.696, -0.778, 10.037], [7.767, -13.334, 0.108], [9.470, 11.502, 4.019]], "species": ["Y", "Y", "Y", "Y", "Y", "Y", "Y", "Y", "Y", "Y", "Y", "Y", "Al", "Al", "Al", "Al", "Al", "Al", "Al", "Al", "Al", "Al", "Al", "Al", "Al", "Al", "Al", "Al", "Al", "Al", "Al", "Al", "Er", "Er", "Er", "Er", "Er", "Er", "Er", "Er", "Er", "Er", "Er", "Er", "Er", "Er", "Er", "Er", "Er", "Er", "Er", "Er", "Er", "Er", "Er", "Er", "Er", "Er", "Er", "Er", "Er", "Er", "Er", "Er", "Er", "Er", "Er", "Er", "Er", "Er", "Er", "Er", "Er", "Er", "Er", "Er", "Er", "Er", "Er", "Er"], "frac_coords": [[0.750, 0.375, 0.125], [0.875, 0.750, 0.125], [0.375, 0.750, 0.625], [0.250, 0.125, 0.375], [0.875, 0.125, 0.250], [0.375, 0.625, 0.250], [0.625, 0.375, 0.750], [0.125, 0.875, 0.750], [0.750, 0.875, 0.625], [0.625, 0.250, 0.375], [0.125, 0.250, 0.875], [0.250, 0.625, 0.875], [0.125, 0.375, 0.250], [0.000, 0.500, 0.000], [0.000, 0.000, 0.000], [0.375, 0.250, 0.125], [0.500, 0.000, 0.500], [0.500, 0.500, 0.000], [0.125, 0.750, 0.375], [0.750, 0.125, 0.875], [0.750, 0.625, 0.375], [0.375, 0.125, 0.750], [0.625, 0.875, 0.250], [0.500, 0.500, 0.500], [0.500, 0.000, 0.000], [0.000, 0.000, 0.500], [0.250, 0.375, 0.625], [0.250, 0.875, 0.125], [0.000, 0.500, 0.500], [0.875, 0.250, 0.625], [0.625, 0.750, 0.875], [0.875, 0.625, 0.750], [0.712, 0.116, 0.043], [0.330, 0.543, 0.426], [0.957, 0.384, 0.288], [0.543, 0.212, 0.116], [0.596, 0.712, 0.670], [0.957, 0.574, 0.170], [0.330, 0.788, 0.404], [0.074, 0.904, 0.116], [0.574, 0.957, 0.670], [0.712, 0.596, 0.170], [0.788, 0.457, 0.384], [0.830, 0.926, 0.043], [0.116, 0.712, 0.543], [0.384, 0.426, 0.096], [0.096, 0.926, 0.384], [0.404, 0.116, 0.574], [0.096, 0.170, 0.212], [0.457, 0.670, 0.074], [0.830, 0.904, 0.288], [0.116, 0.404, 0.074], [0.384, 0.957, 0.788], [0.574, 0.616, 0.404], [0.926, 0.830, 0.543], [0.788, 0.330, 0.904], [0.426, 0.384, 0.596], [0.074, 0.170, 0.457], [0.212, 0.670, 0.096], [0.170, 0.096, 0.712], [0.616, 0.043, 0.212], [0.884, 0.596, 0.926], [0.543, 0.330, 0.926], [0.596, 0.884, 0.426], [0.904, 0.830, 0.788], [0.904, 0.074, 0.616], [0.884, 0.288, 0.457], [0.170, 0.074, 0.957], [0.616, 0.574, 0.904], [0.426, 0.043, 0.330], [0.288, 0.404, 0.830], [0.212, 0.543, 0.616], [0.926, 0.096, 0.884], [0.670, 0.212, 0.596], [0.457, 0.788, 0.884], [0.043, 0.426, 0.830], [0.404, 0.288, 0.330], [0.043, 0.616, 0.712], [0.670, 0.457, 0.574], [0.288, 0.884, 0.957]], "formation_enthalpy_0k_ev_per_atom": 0.66, "spacegroup": "Ia-3d, No. 230", "dos_ef_per_ev_cell": 146.31, "magnetic_moment_mub_per_cell": 0.14}

---

{"formula": "Y3ErAl4", "functional": "PBE-GGA", "state": "relaxed", "lattice_angstrom": [[-3.266, -1.445, 0.416], [1.208, -1.928, 2.784], [-3.580, 10.664, 8.936]], "species": ["Y", "Y", "Y", "Al", "Al", "Al", "Al", "Er"], "frac_coords": [[0.500, 0.500, 0.248], [0.500, 0.500, 0.500], [0.500, 0.500, 0.752], [0.000, 0.000, 0.878], [0.000, 0.000, 0.122], [0.000, 0.000, 0.374], [0.000, 0.000, 0.626], [0.500, 0.500, 0.000]], "formation_enthalpy_0k_ev_per_atom": -0.41, "spacegroup": "P4/mmm, No. 123", "dos_ef_per_ev_cell": 3.28, "magnetic_moment_mub_per_cell": 0.00}

---

{"formula": "Y4ErAl5", "functional": "PBE-GGA", "state": "relaxed", "lattice_angstrom": [[-1.586, -1.155, 3.006], [-2.846, -1.064, -1.911], [7.582, -16.250, -2.243]], "species": ["Y", "Y", "Y", "Y", "Er", "Al", "Al", "Al", "Al", "Al"], "frac_coords": [[0.000, 0.000, 0.198], [0.000, 0.000, 0.399], [0.000, 0.000, 0.601], [0.000, 0.000, 0.802], [0.000, 0.000, 0.000], [0.500, 0.500, 0.097], [0.500, 0.500, 0.299], [0.500, 0.500, 0.500], [0.500, 0.500, 0.701], [0.500, 0.500, 0.903]], "formation_enthalpy_0k_ev_per_atom": -0.41, "spacegroup": "P4/mmm, No. 123", "dos_ef_per_ev_cell": 4.78, "magnetic_moment_mub_per_cell": 0.00}

---

{"formula": "Y2ErAl", "functional": "PBE-GGA", "state": "relaxed", "lattice_angstrom": [[-1.113, 5.227, -0.202], [-4.921, 1.734, 1.176], [-0.866, 2.727, 4.519]], "species": ["Y", "Y", "Al", "Er"], "frac_coords": [[0.250, 0.250, 0.250], [0.750, 0.750, 0.750], [0.500, 0.500, 0.500], [0.000, 0.000, 0.000]], "formation_enthalpy_0k_ev_per_atom": -0.07, "spacegroup": "Fm-3m, No. 225", "dos_ef_per_ev_cell": 6.32, "magnetic_moment_mub_per_cell": 0.01}

---

{"formula": "Y3Er2Al2", "functional": "PBE-GGA", "state": "relaxed", "lattice_angstrom": [[3.519, 0.000, 0.467], [-0.029, 3.529, 0.219], [-0.232, 0.826, 15.243]], "species": ["Y", "Y", "Y", "Er", "Er", "Al", "Al"], "frac_coords": [[0.875, 0.874, 0.251], [0.000, 0.000, 0.000], [0.125, 0.126, 0.749], [0.710, 0.711, 0.579], [0.290, 0.289, 0.421], [0.563, 0.563, 0.874], [0.437, 0.437, 0.126]], "formation_enthalpy_0k_ev_per_atom": -0.23, "spacegroup": "Immm, No. 71", "dos_ef_per_ev_cell": 5.19, "magnetic_moment_mub_per_cell": 0.00}

---

{"formula": "YEr5Al4", "functional": "PBE-GGA", "state": "relaxed", "lattice_angstrom": [[-2.662, -1.968, 1.274], [1.510, -2.914, -1.346], [9.870, -2.572, 16.649]], "species": ["Y", "Er", "Er", "Er", "Er", "Er", "Al", "Al", "Al", "Al"], "frac_coords": [[0.000, 0.000, 0.000], [0.500, 0.500, 0.129], [0.500, 0.500, 0.315], [0.500, 0.500, 0.500], [0.500, 0.500, 0.685], [0.500, 0.500, 0.871], [0.000, 0.000, 0.222], [0.000, 0.000, 0.408], [0.000, 0.000, 0.592], [0.000, 0.000, 0.778]], "formation_enthalpy_0k_ev_per_atom": -0.32, "spacegroup": "P4/mmm, No. 123", "dos_ef_per_ev_cell": 6.98, "magnetic_moment_mub_per_cell": 0.00}